# BeRu2Pb PBE optimized geometry
data_BeRu2Pb
_chemical_formula_sum 'Be1 Ru2 Pb1'
_symmetry_space_group_name_H-M 'P 1'
_symmetry_Int_Tables_number 1
_symmetry_space_group_name_Hall 'P 1'
_cell_length_a 2.936
_cell_length_b 2.936
_cell_length_c 8.316
_cell_angle_alpha 90.00
_cell_angle_beta 90.00
_cell_angle_gamma 90.00
loop_
_atom_site_label
_atom_site_type_symbol
_atom_site_fract_x
_atom_site_fract_y
_atom_site_fract_z
Be1 Be 0.000 0.000 0.000
Ru1 Ru 0.000 0.000 0.668
Ru2 Ru 0.500 0.500 0.863
Pb1 Pb 0.500 0.500 0.402
# **Formation energy from the elements**: 32 kJ/mol of atoms
# **Energy above the most stable polymorph in this dataset**: 45 meV per atom